Arrangement w

Entry from Alexandria via LeMat-Bulk: a geometry-optimized Rb2BaZnF6 structure (PBE-GGA).

abc: 6.5266 6.5266 6.5289
angles: 60.01 60.01 90.00
Element x y z (fractional)
Zn1 0.5000 0.5000 0.0000
Rb1 0.2500 0.7500 0.5000
F1 0.2752 0.2752 0.4497
F2 0.7248 0.7248 0.5503
Ba1 0.0000 0.0000 0.0000
F3 0.7247 0.2753 0.0000
F4 0.2753 0.7247 0.0000
Rb2 0.7500 0.2500 0.5000
F5 0.7247 0.7247 0.0000
F6 0.2753 0.2753 0.0000

Results
The mass density comes out at 4.12 g cm⁻³.

***

Arrangement x

Entry from Alexandria via LeMat-Bulk: a geometry-optimized Rb2BaZnF6 structure (PBE-GGA).

abc: 6.2705 6.8947 9.1679
angles: 90.00 90.00 90.00
Element x y z (fractional)
F1 0.0000 0.7870 0.2275
F2 0.5000 0.2130 0.7275
F3 0.7286 0.9894 0.5000
F4 0.2286 0.0106 0.0000
F5 0.2714 0.9894 0.5000
Rb1 0.0000 0.1936 0.7231
F6 0.5000 0.2130 0.2725
Ba1 0.0000 0.7033 0.5000
F7 0.0000 0.7870 0.7725
Rb2 0.5000 0.8064 0.2231
Rb3 0.0000 0.1936 0.2769
F8 0.2429 0.5844 0.0000
Zn1 0.0000 0.7855 0.0000
Rb4 0.5000 0.8064 0.7769
Ba2 0.5000 0.2967 0.0000
F9 0.2571 0.4156 0.5000
F10 0.7429 0.4156 0.5000
F11 0.7571 0.5844 0.0000
F12 0.7714 0.0106 0.0000
Zn2 0.5000 0.2145 0.5000

Results
The mass density comes out at 4.09 g cm⁻³.

***

Most stable structure - arrangement x; separation to the second - 0.7 kJ/mol of atoms.

***

Arrangement w

Entry from Alexandria via LeMat-Bulk: a geometry-optimized BaReF structure (PBE-GGA).

abc: 3.0518 3.0518 7.1319
angles: 90.00 90.00 90.00
Element x y z (fractional)
F1 0.0000 0.0000 0.4409
Ba1 0.5000 0.5000 0.6444
Re1 0.0000 0.0000 0.0274

Results
The mass density comes out at 8.56 g cm⁻³.

***

Arrangement x

Entry from Alexandria via LeMat-Bulk: a geometry-optimized BaReF structure (PBE-GGA).

abc: 3.0582 4.7800 4.2775
angles: 90.00 90.00 90.00
Last column: magnetic moment on the atom in μB.
Element x y z (fractional)
F1 0.0000 0.5000 0.5000  0.03
Ba1 0.5000 0.0000 0.5000  -0.01
Re1 0.0000 0.5000 0.0000  0.45

Results
The mass density comes out at 9.10 g cm⁻³.

***

Most stable structure - arrangement w; separation to the second - 4.4 kJ/mol of atoms.